# 1
A relaxed La12DyPb3 crystal. Source: Alexandria via LeMat-Bulk, functional PBE.

As for the formation energy: -0.277 eV/atom. The density of states at the Fermi level is 1.2995 states/eV/atom. Its space-group type is P4/mmm (123). Its volume is 33.406 A^3/atom.

Cell: 5.091 5.091 20.620 Å, 90.00 90.00 90.00°
Sites, in units of the cell vectors:
La 0.000 0.000 0.000
La 0.000 0.000 0.246
La 0.000 0.000 0.500
La 0.000 0.000 0.754
La 0.000 0.500 0.123
La 0.000 0.500 0.371
La 0.000 0.500 0.629
La 0.000 0.500 0.877
La 0.500 0.000 0.123
La 0.500 0.000 0.371
La 0.500 0.000 0.629
La 0.500 0.000 0.877
Dy 0.500 0.500 0.500
Pb 0.500 0.500 0.000
Pb 0.500 0.500 0.246
Pb 0.500 0.500 0.754


# 2
A relaxed LaDyPb2 crystal. Source: Alexandria via LeMat-Bulk, functional PBE.

As for the formation energy: -0.507 eV/atom. The density of states at the Fermi level is 0.9109 states/eV/atom. Its space-group type is P4/mmm (123). Its volume is 29.776 A^3/atom.

Cell: 3.611 3.611 9.135 Å, 90.00 90.00 90.00°
Sites, in units of the cell vectors:
La 0.000 0.000 0.000
Dy 0.000 0.000 0.500
Pb 0.500 0.500 0.262
Pb 0.500 0.500 0.738


# 3
A relaxed LaDyPb2 crystal. Source: Alexandria via LeMat-Bulk, functional PBE.

As for the formation energy: -0.496 eV/atom. The density of states at the Fermi level is 0.9582 states/eV/atom. Its space-group type is P4/mmm (123). Its volume is 30.024 A^3/atom.

Cell: 5.124 5.124 4.574 Å, 90.00 90.00 90.00°
Sites, in units of the cell vectors:
La 0.000 0.000 0.000
Dy 0.500 0.500 0.000
Pb 0.000 0.500 0.500
Pb 0.500 0.000 0.500


# 4
A relaxed La2DyPb3 crystal. Source: Alexandria via LeMat-Bulk, functional PBE.

As for the formation energy: -0.444 eV/atom. The density of states at the Fermi level is 0.7952 states/eV/atom. Its space-group type is C2/c (15). Its volume is 33.586 A^3/atom.

Cell: 8.961 8.961 7.572 Å, 102.18 102.18 42.88°
Sites, in units of the cell vectors:
La 0.166 0.170 0.084
La 0.170 0.166 0.584
La 0.830 0.834 0.416
La 0.834 0.830 0.916
Dy 0.493 0.507 0.250
Dy 0.507 0.493 0.750
Pb 0.008 0.992 0.750
Pb 0.337 0.341 0.419
Pb 0.341 0.337 0.919
Pb 0.659 0.663 0.081
Pb 0.663 0.659 0.581
Pb 0.992 0.008 0.250


# 5
A relaxed La9DyPb2 crystal. Source: Alexandria via LeMat-Bulk, functional PBE.

As for the formation energy: -0.238 eV/atom. The density of states at the Fermi level is 1.3515 states/eV/atom. Its space-group type is P4/mmm (123). Its volume is 33.699 A^3/atom.

Cell: 5.096 5.096 15.571 Å, 90.00 90.00 90.00°
Sites, in units of the cell vectors:
La 0.000 0.000 0.000
La 0.000 0.000 0.337
La 0.000 0.000 0.663
La 0.000 0.500 0.171
La 0.000 0.500 0.500
La 0.000 0.500 0.829
La 0.500 0.000 0.171
La 0.500 0.000 0.500
La 0.500 0.000 0.829
Dy 0.500 0.500 0.000
Pb 0.500 0.500 0.337
Pb 0.500 0.500 0.663


# 6
A relaxed LaDyPb6 crystal. Source: Alexandria via LeMat-Bulk, functional PBE.

As for the formation energy: -0.364 eV/atom. The density of states at the Fermi level is 0.5270 states/eV/atom. Its space-group type is P4/mmm (123). Its volume is 29.794 A^3/atom.

Cell: 4.934 4.934 9.793 Å, 90.00 90.00 90.00°
Sites, in units of the cell vectors:
La 0.000 0.000 0.000
Dy 0.000 0.000 0.500
Pb 0.000 0.500 0.256
Pb 0.000 0.500 0.744
Pb 0.500 0.000 0.256
Pb 0.500 0.000 0.744
Pb 0.500 0.500 0.000
Pb 0.500 0.500 0.500


# 7
A relaxed La5DyPb3 crystal. Source: Alexandria via LeMat-Bulk, functional PBE.

As for the formation energy: -0.446 eV/atom. The density of states at the Fermi level is 1.1243 states/eV/atom. Its space-group type is P6_3/mcm (193). Its volume is 32.671 A^3/atom.

Cell: 9.910 9.910 6.914 Å, 90.00 90.00 120.00°
Sites, in units of the cell vectors:
La 0.000 0.330 0.250
La 0.000 0.670 0.750
La 0.330 0.000 0.250
La 0.330 0.330 0.750
La 0.333 0.667 0.000
La 0.333 0.667 0.500
La 0.667 0.333 0.000
La 0.667 0.333 0.500
La 0.670 0.000 0.750
La 0.670 0.670 0.250
Dy 0.000 0.000 0.000
Dy 0.000 0.000 0.500
Pb 0.000 0.333 0.750
Pb 0.000 0.667 0.250
Pb 0.333 0.000 0.750
Pb 0.333 0.333 0.250
Pb 0.667 0.000 0.250
Pb 0.667 0.667 0.750


# 8
A relaxed La3Dy2Pb4 crystal. Source: Alexandria via LeMat-Bulk, functional PBE.

As for the formation energy: -0.472 eV/atom. For the energy relative to the lowest polymorph listed for this composition, the calculation gives 45 meV per atom. The density of states at the Fermi level is 0.8797 states/eV/atom. Its space-group type is C2/m (12). Its volume is 33.459 A^3/atom.

Cell: 7.384 7.384 10.229 Å, 115.81 115.81 37.44°
Sites, in units of the cell vectors:
La 0.000 0.000 0.000
La 0.375 0.375 0.302
La 0.625 0.625 0.698
Dy 0.319 0.319 0.650
Dy 0.681 0.681 0.350
Pb 0.068 0.068 0.408
Pb 0.302 0.302 0.940
Pb 0.698 0.698 0.060
Pb 0.932 0.932 0.592


# 9
A relaxed La14DyPb crystal. Source: Alexandria via LeMat-Bulk, functional PBE.

As for the formation energy: -0.077 eV/atom. The density of states at the Fermi level is 1.4008 states/eV/atom. Its space-group type is Amm2 (38). Its volume is 35.145 A^3/atom.

Cell: 10.435 7.341 7.341 Å, 89.99 90.00 90.00°
Sites, in units of the cell vectors:
La 0.000 0.000 0.000
La 0.000 0.000 0.500
La 0.000 0.499 0.499
La 0.000 0.500 0.000
La 0.255 0.245 0.245
La 0.255 0.245 0.754
La 0.255 0.754 0.245
La 0.255 0.755 0.755
La 0.500 0.000 0.500
La 0.500 0.500 0.000
La 0.745 0.245 0.245
La 0.745 0.245 0.754
La 0.745 0.754 0.245
La 0.745 0.755 0.755
Dy 0.500 0.500 0.500
Pb 0.500 0.000 0.000


# 10
A relaxed LaDy4Pb5 crystal. Source: Alexandria via LeMat-Bulk, functional PBE.

As for the formation energy: -0.463 eV/atom. The density of states at the Fermi level is 0.7655 states/eV/atom. Its space-group type is P4/mmm (123). Its volume is 28.724 A^3/atom.

Cell: 3.563 3.563 22.623 Å, 90.00 90.00 90.00°
Sites, in units of the cell vectors:
La 0.000 0.000 0.000
Dy 0.000 0.000 0.204
Dy 0.000 0.000 0.402
Dy 0.000 0.000 0.598
Dy 0.000 0.000 0.796
Pb 0.500 0.500 0.107
Pb 0.500 0.500 0.303
Pb 0.500 0.500 0.500
Pb 0.500 0.500 0.697
Pb 0.500 0.500 0.893


# 11
A relaxed La3DyPb2 crystal. Source: Alexandria via LeMat-Bulk, functional PBE.

As for the formation energy: -0.456 eV/atom. For the energy relative to the lowest polymorph listed for this composition, the calculation gives 0 meV per atom. The density of states at the Fermi level is 1.4659 states/eV/atom. Its space-group type is P-4m2 (115). Its volume is 33.956 A^3/atom.

Cell: 4.768 4.768 8.962 Å, 90.00 90.00 90.00°
Sites, in units of the cell vectors:
La 0.000 0.000 0.000
La 0.000 0.500 0.653
La 0.500 0.000 0.347
Dy 0.500 0.500 0.000
Pb 0.000 0.500 0.277
Pb 0.500 0.000 0.723